# 1
ZnCrSi4O10: single point on PBEsol structure, meta-GGA SCAN.

Lattice parameters (Å, degrees): 7.2122 7.2122 14.7987 90.00 90.00 90.00
Positions (direct):
Zn 0.2500 0.7500 0.0000
Zn 0.2500 0.7500 0.5000
Zn 0.7500 0.2500 0.0000
Zn 0.7500 0.2500 0.5000
Cr 0.2500 0.2500 0.0679
Cr 0.2500 0.2500 0.5679
Cr 0.7500 0.7500 0.4321
Cr 0.7500 0.7500 0.9321
Si 0.0130 0.5901 0.1443
Si 0.0130 0.9099 0.6443
Si 0.0901 0.5130 0.3557
Si 0.0901 0.9870 0.8557
Si 0.4099 0.5130 0.8557
Si 0.4099 0.9870 0.3557
Si 0.4870 0.5901 0.6443
Si 0.4870 0.9099 0.1443
Si 0.5130 0.0901 0.8557
Si 0.5130 0.4099 0.3557
Si 0.5901 0.0130 0.6443
Si 0.5901 0.4870 0.1443
Si 0.9099 0.0130 0.1443
Si 0.9099 0.4870 0.6443
Si 0.9870 0.0901 0.3557
Si 0.9870 0.4099 0.8557
O 0.0008 0.6885 0.6247
O 0.0008 0.8115 0.1247
O 0.0170 0.6686 0.4263
O 0.0170 0.8314 0.9263
O 0.0615 0.5615 0.2500
O 0.0615 0.9385 0.7500
O 0.1686 0.5170 0.0737
O 0.1686 0.9830 0.5737
O 0.1885 0.5008 0.8753
O 0.1885 0.9992 0.3753
O 0.3115 0.5008 0.3753
O 0.3115 0.9992 0.8753
O 0.3314 0.5170 0.5737
O 0.3314 0.9830 0.0737
O 0.4385 0.5615 0.7500
O 0.4385 0.9385 0.2500
O 0.4830 0.6686 0.9263
O 0.4830 0.8314 0.4263
O 0.4992 0.6885 0.1247
O 0.4992 0.8115 0.6247
O 0.5008 0.1885 0.3753
O 0.5008 0.3115 0.8753
O 0.5170 0.1686 0.5737
O 0.5170 0.3314 0.0737
O 0.5615 0.0615 0.7500
O 0.5615 0.4385 0.2500
O 0.6686 0.0170 0.9263
O 0.6686 0.4830 0.4263
O 0.6885 0.0008 0.1247
O 0.6885 0.4992 0.6247
O 0.8115 0.0008 0.6247
O 0.8115 0.4992 0.1247
O 0.8314 0.0170 0.4263
O 0.8314 0.4830 0.9263
O 0.9385 0.0615 0.2500
O 0.9385 0.4385 0.7500
O 0.9830 0.1686 0.0737
O 0.9830 0.3314 0.5737
O 0.9992 0.1885 0.8753
O 0.9992 0.3115 0.3753

Calculated values
SG: P4/ncc


# 2
Zn3Cr2Si4O14: single point on PBEsol structure, meta-GGA SCAN.

Lattice parameters (Å, degrees): 8.8819 8.8819 9.7680 118.12 118.12 50.54
Positions (direct):
Zn 0.1061 0.8939 0.7500
Zn 0.2186 0.4444 0.6000
Zn 0.4444 0.2186 0.1000
Zn 0.5556 0.7814 0.9000
Zn 0.7814 0.5556 0.4000
Zn 0.8939 0.1061 0.2500
Cr 0.2964 0.7036 0.2500
Cr 0.5000 0.5000 0.0000
Cr 0.5000 0.5000 0.5000
Cr 0.7036 0.2964 0.7500
Si 0.0262 0.6165 0.2949
Si 0.0336 0.7236 0.9064
Si 0.2764 0.9664 0.5936
Si 0.3835 0.9738 0.2051
Si 0.6165 0.0262 0.7949
Si 0.7236 0.0336 0.4064
Si 0.9664 0.2764 0.0936
Si 0.9738 0.3835 0.7051
O 0.0072 0.5420 0.8724
O 0.0096 0.3995 0.5650
O 0.0361 0.8502 0.0921
O 0.1436 0.1536 0.7254
O 0.1498 0.9639 0.4079
O 0.1536 0.1436 0.2254
O 0.2224 0.6499 0.8431
O 0.2476 0.5732 0.3318
O 0.3501 0.7776 0.6569
O 0.3776 0.4600 0.0846
O 0.3995 0.0096 0.0650
O 0.4268 0.7524 0.1682
O 0.4580 0.9928 0.6276
O 0.4600 0.3776 0.5846
O 0.5400 0.6224 0.4154
O 0.5420 0.0072 0.3724
O 0.5732 0.2476 0.8318
O 0.6005 0.9904 0.9350
O 0.6224 0.5400 0.9154
O 0.6499 0.2224 0.3431
O 0.7524 0.4268 0.6682
O 0.7776 0.3501 0.1569
O 0.8464 0.8564 0.7746
O 0.8502 0.0361 0.5921
O 0.8564 0.8464 0.2746
O 0.9639 0.1498 0.9079
O 0.9904 0.6005 0.4350
O 0.9928 0.4580 0.1276

Calculated values
SG: C2/c


# 3
SmCrO4: single point on PBEsol structure, meta-GGA SCAN.

Lattice parameters (Å, degrees): 5.9983 5.9983 5.9983 105.96 105.96 116.76
Positions (direct):
Sm 0.3750 0.6250 0.7500
Sm 0.6250 0.3750 0.2500
Cr 0.1250 0.8750 0.2500
Cr 0.8750 0.1250 0.7500
O 0.1333 0.7028 0.4305
O 0.2278 0.2972 0.9305
O 0.2972 0.2278 0.4305
O 0.2972 0.8667 0.0695
O 0.7028 0.1333 0.9305
O 0.7028 0.7722 0.5695
O 0.7722 0.7028 0.0695
O 0.8667 0.2972 0.5695

Calculated values
SG: I4_1/amd


# 4
CrSn2O: single point on PBEsol structure, meta-GGA SCAN.

Lattice parameters (Å, degrees): 4.6143 4.6143 4.6143 60.00 60.00 60.00
Positions (direct):
Cr 0.0000 0.0000 0.0000
Sn 0.2500 0.2500 0.2500
Sn 0.7500 0.7500 0.7500
O 0.5000 0.5000 0.5000

Calculated values
SG: Fm-3m


| no. | formation energy without anion corrections (meV/atom) | M_tot (μB per atom) |
| --- | --- | --- |
| 1 | -2692 | 0.250 |
| 2 | -2485 | 0.261 |
| 3 | -2864 | 0.167 |
| 4 | 274 | 1.311 |